A plane-wave DFT calculation with GGA+U was carried out for a geometry-optimized CdFeSeF2 structure.

Summary:
Crystal system ... tetragonal
SG ... P4/mmm (123)
Final energy ... -4.13 eV/atom
Calculated volume ... 17.7 A^3/atom

Cell lengths 3.996, 3.996, 5.536 Å; angles 90.00, 90.00, 90.00 degrees
Positions (direct):
Cd (0.000, 0.000, 0.000)
Fe (0.500, 0.500, 0.500)
Se (0.500, 0.500, 0.000)
F (0.000, 0.500, 0.500)
F (0.500, 0.000, 0.500)